<a>
AgOs2Au | PBE | relaxed

The space-group type is R-3m (166). The calculation puts the calculated volume at 63.3 Å³ per cell.

Unit cell a=9.6344 b=9.6344 c=9.6344 alpha=16.55 beta=16.55 gamma=16.55
Atoms (fractional coordinates):
Ag1 0.0000 0.0000 0.0000
Os1 0.2496 0.2496 0.2496
Os2 0.7504 0.7504 0.7504
Au1 0.5000 0.5000 0.5000

---

<b>
AgOs2Au | PBE | relaxed

The space-group type is C2/m (12). The calculation puts the calculated volume at 63.2 Å³ per cell.

Unit cell a=4.9964 b=4.9964 c=4.8322 alpha=99.39 beta=99.39 gamma=32.12
Atoms (fractional coordinates):
Ag1 0.0000 0.0000 0.0000
Os1 0.2456 0.2456 0.7559
Os2 0.7544 0.7544 0.2441
Au1 0.5000 0.5000 0.5000

---

<c>
AgOs2Au | PBE | relaxed

The space-group type is I4/mmm (139). The calculation puts the calculated volume at 63.7 Å³ per cell.

Unit cell a=5.1364 b=5.1364 c=5.1364 alpha=136.35 beta=136.35 gamma=63.43
Atoms (fractional coordinates):
Ag1 0.0000 0.0000 0.0000
Os1 0.2500 0.7500 0.5000
Os2 0.7500 0.2500 0.5000
Au1 0.5000 0.5000 0.0000

---

Winner for stability: <a>

---

<a>
Ag2OsAu | PBE | relaxed

The space-group type is P4/mmm (123). The calculation puts the calculated volume at 67.4 Å³ per cell.

Unit cell a=2.7488 b=2.7488 c=8.9157 alpha=90.00 beta=90.00 gamma=90.00
Atoms (fractional coordinates):
Ag1 0.0000 0.0000 0.2433
Ag2 0.0000 0.0000 0.7567
Os1 0.5000 0.5000 0.0000
Au1 0.5000 0.5000 0.5000

---

<b>
Ag2OsAu | PBE | relaxed

The space-group type is I-42d (122). The calculation puts the calculated volume at 152.1 Å³ per cell.

Unit cell a=5.9492 b=5.9492 c=5.9492 alpha=102.02 beta=102.02 gamma=125.71
Atoms (fractional coordinates):
Ag1 0.1192 0.6250 0.9942
Ag2 0.3750 0.3692 0.4942
Ag3 0.6308 0.1250 0.0058
Ag4 0.8750 0.8808 0.5058
Os1 0.0000 0.0000 0.0000
Os2 0.7500 0.2500 0.5000
Au1 0.2500 0.7500 0.5000
Au2 0.5000 0.5000 0.0000

---

Winner for stability: <a>